1.
NaSrLiBi after structural relaxation, computed with GGA-PBE.

Summary:
**Density of states at the Fermi level**: 2.55 states/eV/cell
**Energy of formation from the pure elements**: -379 meV per atom
**Size of the total moment**: 0.00 μB/cell
**Total energy**: -10.31 eV per formula unit

Cell: 5.616 5.616 5.616 Å, 60.00 60.00 60.00°
Sites, in units of the cell vectors:
1 Sr 0.250 0.250 0.250
2 Na 0.750 0.750 0.750
3 Bi 0.500 0.500 0.500
4 Li 0.000 0.000 0.000



2.
KScRe3 after structural relaxation, computed with GGA-PBE.

Summary:
**Density of states at the Fermi level**: 5.97 states/eV/cell
**Energy of formation from the pure elements**: 2574 meV per atom
**Size of the total moment**: 4.08 μB/cell
**Total energy**: -31.90 eV per formula unit

Cell: 4.866 4.866 4.866 Å, 90.00 90.00 90.00°
Last column: magnetic moment on the atom in μB.
Sites, in units of the cell vectors:
1 Sc 0.000 0.000 0.000  -0.04
2 Re 0.500 0.000 0.000  1.32
3 Re 0.000 0.500 0.000  1.20
4 Re 0.000 0.000 0.500  1.00
5 K 0.500 0.500 0.500  0.03



3.
Ca3Cu2Rh after structural relaxation, computed with GGA-PBE.

Summary:
**Density of states at the Fermi level**: 16.74 states/eV/cell
**Energy of formation from the pure elements**: -231 meV per atom
**Size of the total moment**: 0.00 μB/cell
**Total energy**: -22.94 eV per formula unit

Cell: 4.299 11.545 11.641 Å, 90.00 90.00 90.00°
Sites, in units of the cell vectors:
1 Cu 0.250 0.005 0.303
2 Cu 0.750 0.995 0.697
3 Cu 0.750 0.311 0.526
4 Cu 0.250 0.495 0.803
5 Cu 0.750 0.189 0.026
6 Cu 0.250 0.811 0.974
7 Cu 0.250 0.689 0.474
8 Cu 0.750 0.505 0.197
9 Ca 0.750 0.204 0.283
10 Ca 0.750 0.554 0.613
11 Ca 0.250 0.054 0.887
12 Ca 0.250 0.126 0.554
13 Ca 0.250 0.374 0.054
14 Ca 0.750 0.874 0.446
15 Ca 0.250 0.796 0.717
16 Ca 0.750 0.626 0.946
17 Ca 0.250 0.446 0.387
18 Ca 0.250 0.704 0.217
19 Ca 0.750 0.946 0.113
20 Ca 0.750 0.296 0.783
21 Rh 0.250 0.130 0.130
22 Rh 0.750 0.630 0.370
23 Rh 0.750 0.870 0.870
24 Rh 0.250 0.370 0.630



4.
YScFe after structural relaxation, computed with GGA-PBE.

Summary:
**Density of states at the Fermi level**: 5.82 states/eV/cell
**Energy of formation from the pure elements**: 1032 meV per atom
**Relative energy among the computed polymorphs**: 1047.9 meV per atom
**Size of the total moment**: 1.37 μB/cell
**Total energy**: -18.16 eV per formula unit

Cell: 4.668 4.668 4.668 Å, 60.00 60.00 60.00°
Last column: magnetic moment on the atom in μB.
Sites, in units of the cell vectors:
1 Sc 0.500 0.500 0.500  -0.39
2 Y 0.750 0.750 0.750  -0.36
3 Fe 0.000 0.000 0.000  2.30



5.
Hf2AgI8 after structural relaxation, computed with GGA-PBE.

Summary:
**Density of states at the Fermi level**: 4.45 states/eV/cell
**Size of the total moment**: 0.00 μB/cell
**Total energy**: -41.96 eV per formula unit
**Formation energy without anion corrections**: -619 meV/atom

Cell: 7.554 9.055 9.055 Å, 77.18 86.15 86.15°
Sites, in units of the cell vectors:
1 Hf 0.363 0.203 0.203
2 Hf 0.637 0.797 0.797
3 I 0.225 0.927 0.290
4 I 0.762 0.614 0.614
5 I 0.225 0.290 0.927
6 I 0.775 0.073 0.710
7 I 0.775 0.710 0.073
8 I 0.721 0.184 0.184
9 I 0.238 0.386 0.386
10 I 0.279 0.816 0.816
11 Ag 0.000 0.000 0.000



6.
UTl2Br3Cl3 after structural relaxation, computed with GGA-PBE.

Summary:
**Density of states at the Fermi level**: 5.10 states/eV/cell
**Size of the total moment**: 2.00 μB/cell
**Total energy**: -37.68 eV per formula unit
**Formation energy without anion corrections**: -1234 meV/atom

Cell: 4.267 8.412 8.412 Å, 120.00 90.00 90.00°
Last column: magnetic moment on the atom in μB.
Sites, in units of the cell vectors:
1 Cl 0.500 0.222 0.222  -0.03
2 Cl 0.500 0.000 0.778  -0.03
3 Cl 0.500 0.778 0.000  -0.03
4 Br 0.000 0.361 0.000  -0.02
5 Br 0.000 0.639 0.639  -0.02
6 Br 0.000 0.000 0.361  -0.02
7 Tl 0.500 0.333 0.667  0.00
8 Tl 0.500 0.667 0.333  0.00
9 U 0.000 0.000 0.000  2.09



7.
BaNi2PdPt after structural relaxation, computed with GGA-PBE.

Summary:
**Density of states at the Fermi level**: 6.64 states/eV/cell
**Energy of formation from the pure elements**: 372 meV per atom
**Size of the total moment**: 1.76 μB/cell
**Total energy**: -22.86 eV per formula unit

Cell: 4.693 5.147 4.693 Å, 90.00 90.00 90.00°
Last column: magnetic moment on the atom in μB.
Sites, in units of the cell vectors:
1 Ni 0.500 0.000 0.000  0.53
2 Ni 0.000 0.000 0.500  1.03
3 Pd 0.000 0.000 0.000  0.31
4 Pt 0.000 0.500 0.000  -0.01
5 Ba 0.500 0.500 0.500  -0.01



8.
NaCaHgP after structural relaxation, computed with GGA-PBE.

Summary:
**Density of states at the Fermi level**: 0.07 states/eV/cell
**Energy of formation from the pure elements**: -536 meV per atom
**Size of the total moment**: 0.00 μB/cell
**Total energy**: -11.18 eV per formula unit

Cell: 5.093 5.093 5.093 Å, 60.00 60.00 60.00°
Sites, in units of the cell vectors:
1 P 0.250 0.250 0.250
2 Hg 0.750 0.750 0.750
3 Ca 0.500 0.500 0.500
4 Na 0.000 0.000 0.000



9.
HfGe2PbO8 after structural relaxation, computed with GGA-PBE.

Summary:
**Density of states at the Fermi level**: 10.05 states/eV/cell
**Size of the total moment**: 2.00 μB/cell
**Total energy**: -82.46 eV per formula unit
**Formation energy without anion corrections**: -1658 meV/atom

Cell: 5.657 5.657 7.063 Å, 90.00 90.00 120.00°
Last column: magnetic moment on the atom in μB.
Sites, in units of the cell vectors:
1 O 0.163 0.839 0.686  0.10
2 O 0.161 0.324 0.686  0.10
3 O 0.676 0.837 0.686  0.10
4 O 0.333 0.667 0.010  0.55
5 O 0.667 0.333 0.990  0.55
6 O 0.324 0.163 0.314  0.10
7 O 0.839 0.676 0.314  0.10
8 O 0.837 0.161 0.314  0.10
9 Pb 0.000 0.000 0.000  -0.01
10 Ge 0.333 0.667 0.756  -0.02
11 Ge 0.667 0.333 0.244  -0.02
12 Hf 0.000 0.000 0.500  -0.02



10.
FeSiP2 after structural relaxation, computed with GGA-PBE.

Summary:
**Density of states at the Fermi level**: 2.77 states/eV/cell
**Size of the total moment**: 1.40 μB/cell
**Total energy**: -23.41 eV per formula unit
**Formation energy without anion corrections**: 324 meV/atom

Cell: 4.134 4.134 3.057 Å, 90.00 90.00 105.22°
Last column: magnetic moment on the atom in μB.
Sites, in units of the cell vectors:
1 Si 0.500 0.000 0.500  0.00
2 P 0.000 0.000 0.000  -0.01
3 P 0.500 0.500 0.000  -0.01
4 Fe 0.000 0.500 0.500  1.49



11.
Ca2AlCd after structural relaxation, computed with GGA-PBE.

Summary:
**Density of states at the Fermi level**: 7.39 states/eV/cell
**Energy of formation from the pure elements**: 87 meV per atom
**Size of the total moment**: 0.00 μB/cell
**Total energy**: -8.31 eV per formula unit

Cell: 8.461 8.461 6.896 Å, 52.16 52.16 90.00°
Sites, in units of the cell vectors:
1 Ca 0.621 0.125 0.250
2 Ca 0.875 0.871 0.750
3 Ca 0.129 0.625 0.250
4 Ca 0.375 0.379 0.750
5 Al 0.500 0.500 0.000
6 Al 0.250 0.750 0.500
7 Cd 0.000 0.000 0.000
8 Cd 0.750 0.250 0.500



12.
Ta2NiHRh after structural relaxation, computed with GGA-PBE.

Summary:
**Density of states at the Fermi level**: 2.92 states/eV/cell
**Relative energy among the computed polymorphs**: 47.2 meV per atom
**Size of the total moment**: 0.00 μB/cell
**Total energy**: -41.25 eV per formula unit

Cell: 4.026 4.026 3.921 Å, 90.00 90.00 90.00°
Sites, in units of the cell vectors:
1 Ta 0.000 0.500 0.000
2 Ta 0.500 0.000 0.000
3 H 0.000 0.000 0.000
4 Ni 0.500 0.500 0.500
5 Rh 0.000 0.000 0.500



13.
Ac2Sm5Ho2 after structural relaxation, computed with GGA-PBE.

Summary:
**Density of states at the Fermi level**: 12.17 states/eV/cell
**Energy of formation from the pure elements**: 58 meV per atom
**Size of the total moment**: 0.00 μB/cell
**Total energy**: -40.45 eV per formula unit

Cell: 3.785 12.758 9.275 Å, 53.55 78.25 63.58°
Sites, in units of the cell vectors:
1 Sm 0.604 0.647 0.853
2 Sm 0.845 0.265 0.515
3 Sm 0.000 0.000 0.000
4 Sm 0.155 0.735 0.485
5 Sm 0.396 0.353 0.147
6 Ho 0.271 0.050 0.307
7 Ho 0.729 0.950 0.693
8 Ac 0.076 0.352 0.790
9 Ac 0.924 0.648 0.210



14.
YCo2Mo after structural relaxation, computed with GGA-PBE.

Summary:
**Density of states at the Fermi level**: 4.16 states/eV/cell
**Energy of formation from the pure elements**: 613 meV per atom
**Relative energy among the computed polymorphs**: 600.0 meV per atom
**Size of the total moment**: 2.94 μB/cell
**Total energy**: -29.06 eV per formula unit

Cell: 9.151 9.151 9.151 Å, 18.10 18.10 18.10°
Last column: magnetic moment on the atom in μB.
Sites, in units of the cell vectors:
1 Co 0.988 0.988 0.988  1.67
2 Co 0.255 0.255 0.255  1.52
3 Y 0.744 0.744 0.744  0.06
4 Mo 0.514 0.514 0.514  -0.21



15.
PrHo3Tm5 after structural relaxation, computed with GGA-PBE.

Summary:
**Density of states at the Fermi level**: 28.30 states/eV/cell
**Energy of formation from the pure elements**: 426 meV per atom
**Relative energy among the computed polymorphs**: 295.9 meV per atom
**Size of the total moment**: 0.00 μB/cell
**Total energy**: -37.03 eV per formula unit

Cell: 9.262 9.262 12.815 Å, 50.97 50.97 50.41°
Sites, in units of the cell vectors:
1 Tm 0.077 0.490 0.781
2 Tm 0.556 0.556 0.565
3 Tm 0.510 0.923 0.219
4 Tm 0.444 0.444 0.435
5 Tm 0.678 0.322 0.000
6 Tm 0.628 0.628 0.073
7 Tm 0.923 0.510 0.219
8 Tm 0.372 0.372 0.927
9 Tm 0.490 0.077 0.781
10 Tm 0.322 0.678 0.000
11 Pr 0.104 0.104 0.133
12 Pr 0.896 0.896 0.867
13 Ho 0.000 0.000 0.000
14 Ho 0.829 0.829 0.340
15 Ho 0.000 0.000 0.500
16 Ho 0.306 0.306 0.316
17 Ho 0.694 0.694 0.684
18 Ho 0.171 0.171 0.660



16.
AlCdTcPd2 after structural relaxation, computed with GGA-PBE.

Summary:
**Density of states at the Fermi level**: 4.76 states/eV/cell
**Energy of formation from the pure elements**: 1366 meV per atom
**Size of the total moment**: 2.32 μB/cell
**Total energy**: -18.58 eV per formula unit

Cell: 4.894 4.989 4.894 Å, 90.00 90.00 90.00°
Last column: magnetic moment on the atom in μB.
Sites, in units of the cell vectors:
1 Pd 0.000 0.000 0.500  0.00
2 Pd 0.500 0.000 0.000  -0.06
3 Al 0.500 0.500 0.500  -0.05
4 Tc 0.000 0.500 0.000  2.43
5 Cd 0.000 0.000 0.000  0.01



17.
CaAlCd after structural relaxation, computed with GGA-PBE.

Summary:
**Density of states at the Fermi level**: 1.93 states/eV/cell
**Energy of formation from the pure elements**: 41 meV per atom
**Size of the total moment**: 0.00 μB/cell
**Total energy**: -6.54 eV per formula unit

Cell: 3.698 3.698 6.812 Å, 90.00 90.00 120.00°
Sites, in units of the cell vectors:
1 Cd 0.333 0.667 0.693
2 Al 0.000 0.000 0.977
3 Ca 0.667 0.333 0.330



18.
BiIrOs2Cl after structural relaxation, computed with GGA-PBE.

Summary:
**Density of states at the Fermi level**: 6.73 states/eV/cell
**Size of the total moment**: 4.78 μB/cell
**Total energy**: -23.01 eV per formula unit
**Formation energy without anion corrections**: 2807 meV/atom

Cell: 5.135 5.055 5.135 Å, 90.00 90.00 90.00°
Last column: magnetic moment on the atom in μB.
Sites, in units of the cell vectors:
1 Os 0.500 0.000 0.000  1.74
2 Os 0.000 0.000 0.500  1.88
3 Ir 0.000 0.500 0.000  0.56
4 Bi 0.000 0.000 0.000  -0.10
5 Cl 0.500 0.500 0.500  0.22



19.
TcTePtAu2 after structural relaxation, computed with GGA-PBE.

Summary:
**Density of states at the Fermi level**: 7.10 states/eV/cell
**Size of the total moment**: 1.01 μB/cell
**Total energy**: -20.34 eV per formula unit
**Formation energy without anion corrections**: 1153 meV/atom

Cell: 5.046 5.046 4.788 Å, 90.00 90.00 90.00°
Last column: magnetic moment on the atom in μB.
Sites, in units of the cell vectors:
1 Tc 0.000 0.000 0.000  0.69
2 Au 0.500 0.000 0.000  0.06
3 Au 0.000 0.500 0.000  0.06
4 Pt 0.000 0.000 0.500  0.03
5 Te 0.500 0.500 0.500  0.06



20.
Ac2TbPmS4 after structural relaxation, computed with GGA-PBE.

Summary:
**Density of states at the Fermi level**: 4.53 states/eV/cell
**Size of the total moment**: 0.00 μB/cell
**Total energy**: -50.11 eV per formula unit
**Formation energy without anion corrections**: -2001 meV/atom

Cell: 4.069 7.099 7.342 Å, 108.61 90.00 90.00°
Sites, in units of the cell vectors:
1 Ac 0.500 0.000 0.500
2 Ac 0.000 0.500 0.500
3 S 0.500 0.764 0.776
4 S 0.000 0.253 0.773
5 S 0.500 0.236 0.224
6 S 0.000 0.747 0.227
7 Pm 0.500 0.500 0.000
8 Tb 0.000 0.000 0.000